Pm2ErGe3 | Alexandria | PBE | relaxed; Fermi-level density of states = 4.69 states/eV/f.u.; formation energy from the elements = -0.65 eV per atom
1.0
4.272 0.000 0.000
0.000 5.950 0.000
0.000 0.000 12.461
Pm Er Ge
4 2 6
Direct
0.000 0.000 0.169 Pm
0.000 0.000 0.831 Pm
0.500 0.500 0.331 Pm
0.500 0.500 0.669 Pm
0.000 0.000 0.500 Er
0.500 0.500 0.000 Er
0.000 0.500 0.160 Ge
0.000 0.500 0.500 Ge
0.000 0.500 0.840 Ge
0.500 0.000 0.000 Ge
0.500 0.000 0.340 Ge
0.500 0.000 0.660 Ge